i:
Computed, not measured: a relaxed CaErAgHg crystal at the GGA-PBE level of DFT.

## Properties
As for the space group: F-43m, No. 216. Its density of states at the Fermi level is 2.7 states/eV per cell. The total magnetization is 0.0 μB per formula unit.

a b c (Å): 5.204 5.204 5.204
angles (deg): 60.00 60.00 60.00
Fractional positions:
Ca  0.000  0.000  0.000
Er  0.500  0.500  0.500
Ag  0.250  0.250  0.250
Hg  0.750  0.750  0.750

=====

ii:
Computed, not measured: a relaxed CaErAgHg crystal at the GGA-PBE level of DFT.

## Properties
As for the space group: P4mm, No. 99. Its density of states at the Fermi level is 3.3 states/eV per cell. The total magnetization is 0.0 μB per formula unit.

a b c (Å): 3.677 3.677 7.512
angles (deg): 90.00 90.00 90.00
Fractional positions:
Ca  0.000  0.000  0.000
Er  0.000  0.000  0.487
Ag  0.500  0.500  0.266
Hg  0.500  0.500  0.730

=====

Of all the structures shown, which is most stable? ii, and i is the least stable.